Record 1
The following is a DFT calculation (PBE) of Ag2AsS3 after structural relaxation.

Calculated values
- E above lowest polymorph (meV per atom) = 0.0

Unit cell a=4.330 b=5.590 c=6.796 alpha=114.29 beta=108.58 gamma=90.00
Fractional positions:
Ag: 0.843 0.575 0.686
Ag: 0.157 0.888 0.314
As: 0.500 0.251 0.000
S: 0.000 0.058 0.000
S: 0.344 0.329 0.688
S: 0.656 0.641 0.312


Record 2
The following is a DFT calculation (PBE) of AgAsS2 after structural relaxation.

Unit cell a=7.922 b=8.659 c=17.584 alpha=99.99 beta=90.00 gamma=117.22
Fractional positions:
As: 0.886 0.508 0.269
As: 0.378 0.492 0.231
As: 0.114 0.492 0.731
As: 0.622 0.508 0.769
As: 0.053 0.345 0.419
As: 0.708 0.655 0.081
As: 0.947 0.655 0.581
As: 0.292 0.345 0.919
As: 0.286 0.815 0.412
As: 0.471 0.185 0.088
As: 0.714 0.185 0.588
As: 0.529 0.815 0.912
S: 0.588 0.995 0.103
S: 0.592 0.005 0.397
S: 0.412 0.005 0.897
S: 0.408 0.995 0.603
S: 0.020 0.863 0.090
S: 0.157 0.137 0.410
S: 0.980 0.137 0.910
S: 0.843 0.863 0.590
S: 0.451 0.254 0.221
S: 0.198 0.746 0.279
S: 0.549 0.746 0.779
S: 0.802 0.254 0.721
S: 0.979 0.287 0.285
S: 0.692 0.713 0.215
S: 0.021 0.713 0.715
S: 0.308 0.287 0.785
S: 0.816 0.568 0.391
S: 0.249 0.432 0.109
S: 0.184 0.432 0.609
S: 0.751 0.568 0.891
S: 0.768 0.414 0.074
S: 0.354 0.586 0.426
S: 0.232 0.586 0.926
S: 0.646 0.414 0.574
Ag: 0.122 0.000 0.250
Ag: 0.878 0.000 0.750
Ag: 0.634 0.000 0.250
Ag: 0.366 0.000 0.750
Ag: 0.238 0.712 0.088
Ag: 0.526 0.288 0.412
Ag: 0.762 0.288 0.912
Ag: 0.474 0.712 0.588
Ag: 0.814 0.866 0.419
Ag: 0.948 0.134 0.081
Ag: 0.186 0.134 0.581
Ag: 0.052 0.866 0.919


Record 3
The following is a DFT calculation (PBE) of AgAs2S after structural relaxation.

Unit cell a=3.278 b=3.278 c=8.998 alpha=79.51 beta=79.51 gamma=60.00
Fractional positions:
As: 0.100 0.100 0.699
As: 0.900 0.900 0.301
S: 0.500 0.500 0.500
Ag: 0.000 0.000 0.000


Record 4
The following is a DFT calculation (PBE) of AgAsS2 after structural relaxation.

Unit cell a=3.695 b=3.695 c=6.935 alpha=74.55 beta=74.55 gamma=60.00
Fractional positions:
Ag: 0.498 0.498 0.506
As: 0.667 0.667 0.998
S: 0.076 0.076 0.773
S: 0.259 0.259 0.223


Record 5
The following is a DFT calculation (PBE) of AgAs2S after structural relaxation.

Unit cell a=5.656 b=5.656 c=7.409 alpha=67.56 beta=67.56 gamma=90.00
Fractional positions:
As: 0.616 0.125 0.250
As: 0.134 0.625 0.250
As: 0.375 0.384 0.750
As: 0.875 0.866 0.750
S: 0.500 0.500 0.000
S: 0.250 0.750 0.500
Ag: 0.000 0.000 0.000
Ag: 0.750 0.250 0.500


Record 6
The following is a DFT calculation (PBE) of Ag2AsS3 after structural relaxation.

Calculated values
- E above lowest polymorph (meV per atom) = 170.4

Unit cell a=5.905 b=9.899 c=6.726 alpha=128.37 beta=90.00 gamma=107.36
Fractional positions:
Ag: 0.410 0.676 0.326
Ag: 0.265 0.676 0.826
Ag: 0.735 0.324 0.174
Ag: 0.590 0.324 0.674
As: 0.861 0.000 0.250
As: 0.139 0.000 0.750
S: 0.772 0.000 0.750
S: 0.228 0.000 0.250
S: 0.622 0.672 0.008
S: 0.950 0.328 0.492
S: 0.050 0.672 0.508
S: 0.378 0.328 0.992


Number 1: E_form (uncorrected) -64 meV per atom, total energy -3.85 eV/atom. Number 2: E_form (uncorrected) -102 meV per atom, total energy -4.04 eV/atom. Number 3: E_form (uncorrected) 429 meV per atom, total energy -3.64 eV/atom. Number 4: E_form (uncorrected) -5 meV per atom, total energy -3.94 eV/atom. Number 5: E_form (uncorrected) 393 meV per atom, total energy -3.68 eV/atom. Number 6: E_form (uncorrected) 107 meV per atom, total energy -3.68 eV/atom.